No. 1
# AcPuPt2, relaxed, DFT PBE-GGA
data_AcPuPt2
_chemical_formula_sum 'Ac2 Pu2 Pt4'
_cell_length_a 6.0568
_cell_length_b 4.3938
_cell_length_c 8.0102
_cell_angle_alpha 90.00
_cell_angle_beta 100.91
_cell_angle_gamma 90.00
_space_group_name_H-M_alt 'P 1 21/m 1'
_space_group_IT_number 11
loop_
_space_group_symop_operation_xyz
'x,y,z'
'-x,-y,-z'
'-x,y+1/2,-z'
'x,-y+1/2,z'
loop_
_atom_site_label
_atom_site_type_symbol
_atom_site_fract_x
_atom_site_fract_y
_atom_site_fract_z
Ac1 Ac 0.2122 0.2500 0.3379
Pu1 Pu 0.3352 0.2500 0.8638
Pt1 Pt 0.1578 0.7500 0.0445
Pt2 Pt 0.2800 0.7500 0.6280
# - offset from the most stable computed form (meV per atom) = 0.0
# - energy of formation (eV/f.u.) = -3.72
# - total magnetic moment (μB per formula unit) = 5.48


No. 2
# AcPu3Pt8, relaxed, DFT PBE-GGA
data_AcPu3Pt8
_chemical_formula_sum 'Ac1 Pu3 Pt8'
_cell_length_a 5.5019
_cell_length_b 5.5019
_cell_length_c 9.0823
_cell_angle_alpha 90.00
_cell_angle_beta 90.00
_cell_angle_gamma 120.00
_space_group_name_H-M_alt 'P 3 m 1'
_space_group_IT_number 156
loop_
_space_group_symop_operation_xyz
'x,y,z'
'-y,x-y,z'
'-x+y,-x,z'
'-y,-x,z'
'-x+y,y,z'
'x,x-y,z'
loop_
_atom_site_label
_atom_site_type_symbol
_atom_site_fract_x
_atom_site_fract_y
_atom_site_fract_z
Ac1 Ac 0.0000 0.0000 0.0000
Pu1 Pu 0.0000 0.0000 0.3802
Pu2 Pu 0.6667 0.3333 0.4890
Pu3 Pu 0.6667 0.3333 0.8487
Pt1 Pt 0.1654 0.3308 0.6768
Pt2 Pt 0.3333 0.6667 0.4298
Pt3 Pt 0.3333 0.6667 0.9297
Pt4 Pt 0.5024 0.0047 0.1857
# - energy of formation (eV/f.u.) = -9.83
# - total magnetic moment (μB per formula unit) = 16.27


No. 3
# AcPu2Pt4, relaxed, DFT PBE-GGA
data_AcPu2Pt4
_chemical_formula_sum 'Ac2 Pu4 Pt8'
_cell_length_a 3.9853
_cell_length_b 4.2789
_cell_length_c 19.2876
_cell_angle_alpha 90.00
_cell_angle_beta 90.00
_cell_angle_gamma 90.00
_space_group_name_H-M_alt 'I m m m'
_space_group_IT_number 71
_space_group_name_Hall '-I 2 2'
loop_
_atom_site_label
_atom_site_type_symbol
_atom_site_fract_x
_atom_site_fract_y
_atom_site_fract_z
Ac1 Ac 0.0000 0.0000 0.0000
Pu1 Pu 0.0000 0.5000 0.1880
Pt1 Pt 0.0000 0.0000 0.4299
Pt2 Pt 0.0000 0.5000 0.3374
# - offset from the most stable computed form (meV per atom) = 0.0
# - energy of formation (eV/f.u.) = -6.31
# - total magnetic moment (μB per formula unit) = 10.51


No. 4
# AcPuPtRh, relaxed, DFT PBE-GGA
data_AcPuPtRh
_chemical_formula_sum 'Ac4 Pu4 Pt4 Rh4'
_cell_length_a 7.2283
_cell_length_b 7.2283
_cell_length_c 7.2283
_cell_angle_alpha 90.00
_cell_angle_beta 90.00
_cell_angle_gamma 90.00
_space_group_name_H-M_alt 'F -4 3 m'
_space_group_IT_number 216
_space_group_name_Hall 'F -4 2 3'
loop_
_atom_site_label
_atom_site_type_symbol
_atom_site_fract_x
_atom_site_fract_y
_atom_site_fract_z
Ac1 Ac 0.0000 0.0000 0.0000
Pu1 Pu 0.0000 0.0000 0.5000
Pt1 Pt 0.2500 0.2500 0.2500
Rh1 Rh 0.2500 0.2500 0.7500
# - energy of formation (eV/f.u.) = -2.44
# - total magnetic moment (μB per formula unit) = 5.37


No. 5
# AcPuRuPt, relaxed, DFT PBE-GGA
data_AcPuRuPt
_chemical_formula_sum 'Ac4 Pu4 Ru4 Pt4'
_cell_length_a 7.1843
_cell_length_b 7.1843
_cell_length_c 7.1843
_cell_angle_alpha 90.00
_cell_angle_beta 90.00
_cell_angle_gamma 90.00
_space_group_name_H-M_alt 'F -4 3 m'
_space_group_IT_number 216
_space_group_name_Hall 'F -4 2 3'
loop_
_atom_site_label
_atom_site_type_symbol
_atom_site_fract_x
_atom_site_fract_y
_atom_site_fract_z
Ac1 Ac 0.0000 0.0000 0.0000
Pu1 Pu 0.0000 0.0000 0.5000
Ru1 Ru 0.2500 0.2500 0.2500
Pt1 Pt 0.2500 0.2500 0.7500
# - energy of formation (eV/f.u.) = -1.31
# - total magnetic moment (μB per formula unit) = 4.56


No. 6
# Ac2PuSb3Pt4, relaxed, DFT PBE-GGA
data_Ac2PuSb3Pt4
_chemical_formula_sum 'Ac2 Pu1 Sb3 Pt4'
_cell_length_a 4.6730
_cell_length_b 4.6730
_cell_length_c 11.3336
_cell_angle_alpha 90.00
_cell_angle_beta 90.00
_cell_angle_gamma 90.00
_space_group_name_H-M_alt 'P -4 m 2'
_space_group_IT_number 115
loop_
_space_group_symop_operation_xyz
'x,y,z'
'y,-x,-z'
'-x,-y,z'
'-y,x,-z'
'-x,y,z'
'-y,-x,-z'
'x,-y,z'
'y,x,-z'
loop_
_atom_site_label
_atom_site_type_symbol
_atom_site_fract_x
_atom_site_fract_y
_atom_site_fract_z
Ac1 Ac 0.0000 0.5000 0.2243
Pu1 Pu 0.0000 0.0000 0.5000
Sb1 Sb 0.0000 0.5000 0.8777
Sb2 Sb 0.5000 0.5000 0.5000
Pt1 Pt 0.0000 0.0000 0.0000
Pt2 Pt 0.0000 0.5000 0.6457
Pt3 Pt 0.5000 0.5000 0.0000
# - formation energy from raw total energies (eV/atom) = -0.88
# - total magnetic moment (μB per formula unit) = 5.46


No. 7
# AcPuSbPt, relaxed, DFT PBE-GGA
data_AcPuSbPt
_chemical_formula_sum 'Ac4 Pu4 Sb4 Pt4'
_cell_length_a 7.6408
_cell_length_b 7.6408
_cell_length_c 7.6408
_cell_angle_alpha 90.00
_cell_angle_beta 90.00
_cell_angle_gamma 90.00
_space_group_name_H-M_alt 'F -4 3 m'
_space_group_IT_number 216
_space_group_name_Hall 'F -4 2 3'
loop_
_atom_site_label
_atom_site_type_symbol
_atom_site_fract_x
_atom_site_fract_y
_atom_site_fract_z
Ac1 Ac 0.0000 0.0000 0.0000
Pu1 Pu 0.0000 0.0000 0.5000
Sb1 Sb 0.2500 0.2500 0.2500
Pt1 Pt 0.2500 0.2500 0.7500
# - formation energy from raw total energies (eV/atom) = -0.69
# - total magnetic moment (μB per formula unit) = 6.01


No. 8
# Ac2PuSi4Pt3, relaxed, DFT PBE-GGA
data_Ac2PuSi4Pt3
_chemical_formula_sum 'Ac2 Pu1 Si4 Pt3'
_cell_length_a 4.3888
_cell_length_b 4.3888
_cell_length_c 10.9358
_cell_angle_alpha 90.00
_cell_angle_beta 90.00
_cell_angle_gamma 90.00
_space_group_name_H-M_alt 'P -4 m 2'
_space_group_IT_number 115
loop_
_space_group_symop_operation_xyz
'x,y,z'
'y,-x,-z'
'-x,-y,z'
'-y,x,-z'
'-x,y,z'
'-y,-x,-z'
'x,-y,z'
'y,x,-z'
loop_
_atom_site_label
_atom_site_type_symbol
_atom_site_fract_x
_atom_site_fract_y
_atom_site_fract_z
Ac1 Ac 0.0000 0.5000 0.2349
Pu1 Pu 0.0000 0.0000 0.5000
Si1 Si 0.0000 0.0000 0.0000
Si2 Si 0.0000 0.5000 0.6650
Si3 Si 0.5000 0.5000 0.0000
Pt1 Pt 0.0000 0.5000 0.8936
Pt2 Pt 0.5000 0.5000 0.5000
# - formation energy from raw total energies (eV/atom) = -0.84
# - total magnetic moment (μB per formula unit) = 5.29


No. 9
# AcPuSiPt, relaxed, DFT PBE-GGA
data_AcPuSiPt
_chemical_formula_sum 'Ac4 Pu4 Si4 Pt4'
_cell_length_a 7.3679
_cell_length_b 7.3679
_cell_length_c 7.3679
_cell_angle_alpha 90.00
_cell_angle_beta 90.00
_cell_angle_gamma 90.00
_space_group_name_H-M_alt 'F -4 3 m'
_space_group_IT_number 216
_space_group_name_Hall 'F -4 2 3'
loop_
_atom_site_label
_atom_site_type_symbol
_atom_site_fract_x
_atom_site_fract_y
_atom_site_fract_z
Ac1 Ac 0.0000 0.0000 0.0000
Pu1 Pu 0.0000 0.0000 0.5000
Si1 Si 0.2500 0.2500 0.7500
Pt1 Pt 0.2500 0.2500 0.2500
# - formation energy from raw total energies (eV/atom) = -0.49
# - total magnetic moment (μB per formula unit) = 5.17


No. 10
# Ac2PuSi3Pt4, relaxed, DFT PBE-GGA
data_Ac2PuSi3Pt4
_chemical_formula_sum 'Ac2 Pu1 Si3 Pt4'
_cell_length_a 4.4045
_cell_length_b 4.4045
_cell_length_c 10.8660
_cell_angle_alpha 90.00
_cell_angle_beta 90.00
_cell_angle_gamma 90.00
_space_group_name_H-M_alt 'P -4 m 2'
_space_group_IT_number 115
loop_
_space_group_symop_operation_xyz
'x,y,z'
'y,-x,-z'
'-x,-y,z'
'-y,x,-z'
'-x,y,z'
'-y,-x,-z'
'x,-y,z'
'y,x,-z'
loop_
_atom_site_label
_atom_site_type_symbol
_atom_site_fract_x
_atom_site_fract_y
_atom_site_fract_z
Ac1 Ac 0.0000 0.5000 0.2344
Pu1 Pu 0.0000 0.0000 0.5000
Si1 Si 0.0000 0.5000 0.8881
Si2 Si 0.5000 0.5000 0.5000
Pt1 Pt 0.0000 0.0000 0.0000
Pt2 Pt 0.0000 0.5000 0.6630
Pt3 Pt 0.5000 0.5000 0.0000
# - formation energy from raw total energies (eV/atom) = -0.95
# - total magnetic moment (μB per formula unit) = 5.47


No. 11
# Ac2PuSn3Pt4, relaxed, DFT PBE-GGA
data_Ac2PuSn3Pt4
_chemical_formula_sum 'Ac2 Pu1 Sn3 Pt4'
_cell_length_a 4.7361
_cell_length_b 4.7361
_cell_length_c 11.0044
_cell_angle_alpha 90.00
_cell_angle_beta 90.00
_cell_angle_gamma 90.00
_space_group_name_H-M_alt 'P -4 m 2'
_space_group_IT_number 115
loop_
_space_group_symop_operation_xyz
'x,y,z'
'y,-x,-z'
'-x,-y,z'
'-y,x,-z'
'-x,y,z'
'-y,-x,-z'
'x,-y,z'
'y,x,-z'
loop_
_atom_site_label
_atom_site_type_symbol
_atom_site_fract_x
_atom_site_fract_y
_atom_site_fract_z
Ac1 Ac 0.0000 0.5000 0.2300
Pu1 Pu 0.0000 0.0000 0.5000
Sn1 Sn 0.0000 0.5000 0.8801
Sn2 Sn 0.5000 0.5000 0.5000
Pt1 Pt 0.0000 0.0000 0.0000
Pt2 Pt 0.0000 0.5000 0.6399
Pt3 Pt 0.5000 0.5000 0.0000
# - energy of formation (eV/f.u.) = -8.72
# - total magnetic moment (μB per formula unit) = 5.51


No. 12
# AcPuTePt, relaxed, DFT PBE-GGA
data_AcPuTePt
_chemical_formula_sum 'Ac4 Pu4 Te4 Pt4'
_cell_length_a 7.6403
_cell_length_b 7.6403
_cell_length_c 7.6403
_cell_angle_alpha 90.00
_cell_angle_beta 90.00
_cell_angle_gamma 90.00
_space_group_name_H-M_alt 'F -4 3 m'
_space_group_IT_number 216
_space_group_name_Hall 'F -4 2 3'
loop_
_atom_site_label
_atom_site_type_symbol
_atom_site_fract_x
_atom_site_fract_y
_atom_site_fract_z
Ac1 Ac 0.0000 0.0000 0.0000
Pu1 Pu 0.0000 0.0000 0.5000
Te1 Te 0.2500 0.2500 0.7500
Pt1 Pt 0.2500 0.2500 0.2500
# - formation energy from raw total energies (eV/atom) = -0.80
# - total magnetic moment (μB per formula unit) = 6.78